Entry 1:
Here is a relaxed structure of CrFe2HgSb from the Alexandria database. Energies are from PBE-GGA.

Unit cell a=4.8403 b=5.1661 c=4.8403 alpha=90.00 beta=90.00 gamma=90.00
Last column: nearest neighbours and their distance in Å.
Atoms (fractional coordinates):
Cr  0.0000  0.5000  0.0000  2 Sb 2.58
Sb  0.0000  0.0000  0.0000  4 Fe 2.42, 2 Cr 2.58
Hg  0.5000  0.5000  0.5000  4 Cr 3.42, 8 Fe 3.54
Fe  0.0000  0.0000  0.5000  2 Sb 2.42
Fe  0.5000  0.0000  0.0000  2 Sb 2.42

Its total energy is -25.17 eV/cell. The calculation puts the uncorrected formation energy at 5.806 eV/f.u. The symmetry is No. 123.

=====

Entry 2:
Here is a relaxed structure of ScTlCd2 from the Alexandria database. Energies are from PBE-GGA.

Unit cell a=3.3589 b=3.3589 c=10.3869 alpha=80.70 beta=80.70 gamma=60.00
Last column: nearest neighbours and their distance in Å.
Atoms (fractional coordinates):
Sc  0.6669  0.6669  0.9993  6 Cd 3.09, 6 Sc 3.36
Tl  0.4995  0.4995  0.5016  6 Cd 3.30-3.34, 6 Tl 3.36
Cd  0.0788  0.0788  0.7637  3 Sc 3.09, 3 Tl 3.30, 6 Cd 3.36
Cd  0.2549  0.2549  0.2354  3 Sc 3.09, 3 Tl 3.34, 6 Cd 3.36

Its total energy is -10.65 eV/cell. The formation energy comes out at -0.032 eV per atom. The offset from the most stable computed form is 0.149 eV/atom. The symmetry is No. 160.

=====

Entry 3:
Here is a relaxed structure of PPdBr2 from the Alexandria database. Energies are from PBE-GGA.

Unit cell a=4.8146 b=4.8146 c=4.8146 alpha=60.00 beta=60.00 gamma=60.00
Last column: nearest neighbours and their distance in Å.
Atoms (fractional coordinates):
P  0.0000  0.0000  0.0000  8 Br 2.95
Br  0.2500  0.2500  0.2500  4 Pd 2.95, 4 P 2.95
Br  0.7500  0.7500  0.7500  4 P 2.95, 4 Pd 2.95
Pd  0.5000  0.5000  0.5000  8 Br 2.95

Its total energy is -11.34 eV/cell. The calculation puts the uncorrected formation energy at 2.604 eV/f.u. The offset from the most stable computed form is 0.251 eV/atom. The symmetry is No. 225.

=====

Entry 4:
Here is a relaxed structure of CsRh3Br from the Alexandria database. Energies are from PBE-GGA.

Unit cell a=5.1043 b=5.1043 c=5.1043 alpha=90.00 beta=90.00 gamma=90.00
Last column: nearest neighbours and their distance in Å.
Atoms (fractional coordinates):
Cs  0.0000  0.0000  0.0000  6 Rh 2.55
Rh  0.0000  0.5000  0.0000  2 Cs 2.55
Rh  0.0000  0.0000  0.5000  2 Cs 2.55
Rh  0.5000  0.0000  0.0000  2 Cs 2.55
Br  0.5000  0.5000  0.5000  12 Rh 3.61

Its total energy is -14.55 eV/cell. The calculation puts the uncorrected formation energy at 10.027 eV/f.u. The offset from the most stable computed form is 1.062 eV/atom. The symmetry is No. 221.

=====

Entry 5:
Here is a relaxed structure of InReP from the Alexandria database. Energies are from PBE-GGA.

Unit cell a=4.2278 b=4.2278 c=4.2278 alpha=60.00 beta=60.00 gamma=60.00
Last column: nearest neighbours and their distance in Å.
Atoms (fractional coordinates):
In  0.5000  0.5000  0.5000  4 P 2.59
P  0.7500  0.7500  0.7500  4 In 2.59, 4 Re 2.59
Re  0.0000  0.0000  0.0000  4 P 2.59

Its total energy is -18.32 eV/cell. The formation energy comes out at 0.758 eV per atom. The offset from the most stable computed form is 0.710 eV/atom. The symmetry is No. 216.

=====

Entry 6:
Here is a relaxed structure of BaRh2W from the Alexandria database. Energies are from PBE-GGA.

Unit cell a=4.2754 b=4.2754 c=6.7908 alpha=71.99 beta=71.99 gamma=59.90
Last column: nearest neighbours and their distance in Å.
Atoms (fractional coordinates):
Ba  0.2402  0.2402  0.2725  7 Rh 3.42-3.71, 4 W 3.47-3.79
Rh  0.0490  0.0490  0.8568  3 W 2.60-2.61, 3 Rh 2.81
Rh  0.7848  0.7848  0.6455  3 W 2.52, 3 Rh 2.81
W  0.4260  0.4260  0.7251  6 Rh 2.52-2.61

Its total energy is -28.79 eV/cell. The formation energy comes out at 0.198 eV per atom. The offset from the most stable computed form is 0.080 eV/atom. The symmetry is No. 8.

=====

Entry 7:
Here is a relaxed structure of La2Ga3Au from the Alexandria database. Energies are from PBE-GGA.

Unit cell a=6.1094 b=6.1094 c=8.8190 alpha=108.44 beta=108.44 gamma=94.98
Last column: nearest neighbours and their distance in Å.
Atoms (fractional coordinates):
La  0.2500  0.7500  0.5000  4 Au 3.31, 8 Ga 3.34-3.35
La  0.7373  0.7373  0.0000  2 Au 3.28, 10 Ga 3.29-3.34
La  0.7500  0.2500  0.5000  4 Au 3.31, 8 Ga 3.34-3.35
La  0.2627  0.2627  0.0000  2 Au 3.28, 10 Ga 3.29-3.34
Ga  0.3253  0.8384  0.1638  2 Ga 2.52-2.55, 1 Au 2.68
Ga  0.1616  0.6747  0.8362  2 Ga 2.52-2.55, 1 Au 2.68
Ga  0.6747  0.1616  0.8362  2 Ga 2.52-2.55, 1 Au 2.68
Ga  0.8384  0.3253  0.1638  2 Ga 2.52-2.55, 1 Au 2.68
Ga  0.1619  0.1619  0.3239  2 Ga 2.52, 1 Au 2.64
Ga  0.8381  0.8381  0.6761  2 Ga 2.52, 1 Au 2.64
Au  0.6686  0.6686  0.3372  3 Ga 2.64-2.68
Au  0.3314  0.3314  0.6628  3 Ga 2.64-2.68

Its total energy is -53.24 eV/cell. The formation energy comes out at -0.734 eV per atom. The offset from the most stable computed form is 0.000 eV/atom. The symmetry is No. 69.

=====

Entry 8:
Here is a relaxed structure of GeBH4 from the Alexandria database. Energies are from PBE-GGA.

Unit cell a=2.2783 b=7.3940 c=8.9278 alpha=90.00 beta=97.33 gamma=90.00
Last column: nearest neighbours and their distance in Å.
Atoms (fractional coordinates):
Ge  0.8229  0.8704  0.6458  1 H 1.57
Ge  0.1771  0.3704  0.3542  1 H 1.57
B  0.5640  0.8399  0.1279  2 H 1.19
B  0.4360  0.3399  0.8721  2 H 1.19
H  0.9646  0.2489  0.9293  2 B 1.42
H  0.0354  0.7489  0.0707  2 B 1.42
H  0.5344  0.9844  0.0688  1 B 1.19
H  0.4656  0.4844  0.9312  1 B 1.19
H  0.7886  0.6753  0.5772  1 Ge 1.57
H  0.2114  0.1753  0.4228  1 Ge 1.57
H  0.6304  0.8145  0.2608  1 B 1.19
H  0.3696  0.3145  0.7392  1 B 1.19

Its total energy is -45.31 eV/cell. The symmetry is No. 36.

=====

Entry 9:
Here is a relaxed structure of Ba2ThI2N2 from the Alexandria database. Energies are from PBE-GGA.

Unit cell a=4.7621 b=4.7621 c=10.2015 alpha=103.50 beta=103.50 gamma=90.00
Last column: nearest neighbours and their distance in Å.
Atoms (fractional coordinates):
Ba  0.4064  0.4064  0.8127  4 N 2.99
Ba  0.5936  0.5936  0.1873  4 N 2.99
Th  0.0000  0.0000  0.0000  4 N 2.38
I  0.1744  0.1744  0.3487  1 Th 3.36, 4 Ba 3.71
I  0.8256  0.8256  0.6513  1 Th 3.36, 4 Ba 3.71
N  0.0000  0.5000  0.0000  2 Th 2.38
N  0.5000  0.0000  0.0000  2 Th 2.38

Its total energy is -40.84 eV/cell. The calculation puts the uncorrected formation energy at -9.826 eV/f.u. The symmetry is No. 139.

=====

Entry 10:
Here is a relaxed structure of Tm3V from the Alexandria database. Energies are from PBE-GGA.

Unit cell a=3.6441 b=5.2901 c=6.3135 alpha=114.77 beta=106.77 gamma=90.00
Last column: nearest neighbours and their distance in Å.
Atoms (fractional coordinates):
Tm  0.2868  0.7035  0.5736  2 V 2.95
Tm  0.5000  0.4167  0.0000  4 V 3.21, 4 Tm 3.52
Tm  0.7132  0.1298  0.4264  2 V 2.95
V  0.0000  0.9167  0.0000  8 Tm 2.95-3.21

Its total energy is -21.76 eV/cell. The formation energy comes out at 0.193 eV per atom. The offset from the most stable computed form is 0.000 eV/atom. The symmetry is No. 71.

=====

Entry 11:
Here is a relaxed structure of CrOs3Rh from the Alexandria database. Energies are from PBE-GGA.

Unit cell a=4.3914 b=4.3914 c=4.3914 alpha=90.00 beta=90.00 gamma=90.00
Last column: nearest neighbours and their distance in Å.
Atoms (fractional coordinates):
Rh  0.5000  0.5000  0.5000  12 Os 3.11
Os  0.0000  0.5000  0.0000  2 Cr 2.20
Os  0.0000  0.0000  0.5000  2 Cr 2.20
Os  0.5000  0.0000  0.0000  2 Cr 2.20
Cr  0.0000  0.0000  0.0000  6 Os 2.20

Its total energy is -41.87 eV/cell. The formation energy comes out at 1.759 eV per atom. The offset from the most stable computed form is 0.000 eV/atom. The symmetry is No. 221.

=====

Entry 12:
Here is a relaxed structure of YSiSe4 from the Alexandria database. Energies are from PBE-GGA.

Unit cell a=5.7127 b=5.7127 c=5.7127 alpha=60.00 beta=60.00 gamma=60.00
Last column: nearest neighbours and their distance in Å.
Atoms (fractional coordinates):
Y  0.0000  0.0000  0.0000  12 Se 3.35, 4 Si 3.50
Si  0.7500  0.7500  0.7500  12 Se 3.35, 4 Y 3.50
Se  0.8760  0.3747  0.3747  6 Se 2.85-2.86
Se  0.3747  0.3747  0.8760  6 Se 2.85-2.86
Se  0.3747  0.8760  0.3747  6 Se 2.85-2.86
Se  0.3747  0.3747  0.3747  6 Se 2.85-2.86

Its total energy is -24.59 eV/cell. The calculation puts the uncorrected formation energy at 1.239 eV/f.u. The offset from the most stable computed form is 1.025 eV/atom. The symmetry is No. 216.